Record 1
Below is crystalline VCo2SiCl at its relaxed geometry, with properties calculated at the PBE level.

Lattice parameters (Å, degrees): 4.362 4.362 4.341 90.00 90.00 90.00
Atoms (fractional coordinates):
V1 0.000 0.000 0.000
Co1 0.000 0.500 0.000
Co2 0.500 0.000 0.000
Si1 0.500 0.500 0.500
Cl1 0.000 0.000 0.500

The uncorrected formation energy is 1.03 eV/atom. The density of states at the Fermi level comes out at 5.50 states/eV/cell. As for the total moment: 0.001 μB/cell. The calculated volume is 82.60 Å³/cell. As for the energy: -5.094 eV per atom.

=====

Record 2
Below is crystalline SrSc2Cl at its relaxed geometry, with properties calculated at the PBE level.

Lattice parameters (Å, degrees): 4.812 4.812 10.128 90.00 90.00 90.00
Atoms (fractional coordinates):
Sr1 0.000 0.000 0.000
Sr2 0.500 0.500 0.500
Sc1 0.000 0.000 0.500
Sc2 0.000 0.500 0.250
Sc3 0.500 0.000 0.750
Sc4 0.500 0.500 0.000
Cl1 0.000 0.500 0.750
Cl2 0.500 0.000 0.250

The uncorrected formation energy is 0.09 eV/atom. The density of states at the Fermi level comes out at 9.58 states/eV/cell. As for the total moment: 5.630 μB/cell. The calculated volume is 234.56 Å³/cell. As for the energy: -3.962 eV per atom.

=====

Record 3
Below is crystalline MgMo2Br at its relaxed geometry, with properties calculated at the PBE level.

Lattice parameters (Å, degrees): 3.218 3.218 7.554 90.00 90.00 90.00
Atoms (fractional coordinates):
Mg1 0.000 0.000 0.000
Mo1 0.000 0.000 0.420
Mo2 0.500 0.500 0.250
Br1 0.500 0.500 0.710

The uncorrected formation energy is 0.24 eV/atom. The density of states at the Fermi level comes out at 3.50 states/eV/cell. As for the total moment: 0.001 μB/cell. The calculated volume is 78.20 Å³/cell. As for the energy: -5.989 eV per atom.

=====

Record 4
Below is crystalline Sr3YTc at its relaxed geometry, with properties calculated at the PBE level.

Lattice parameters (Å, degrees): 5.775 5.775 5.775 90.00 90.00 90.00
Atoms (fractional coordinates):
Sr1 0.000 0.000 0.500
Sr2 0.000 0.500 0.000
Sr3 0.500 0.000 0.000
Y1 0.500 0.500 0.500
Tc1 0.000 0.000 0.000

The density of states at the Fermi level comes out at 8.90 states/eV/cell. As for the total moment: 0.010 μB/cell. The calculated volume is 192.61 Å³/cell. As for the energy: -3.636 eV per atom. The value obtained for the formation energy is 0.7393 eV per atom.

=====

Record 5
Below is crystalline Mg2CdCl at its relaxed geometry, with properties calculated at the PBE level.

Lattice parameters (Å, degrees): 3.320 3.320 7.889 90.00 90.00 90.00
Atoms (fractional coordinates):
Mg1 0.000 0.000 0.241
Mg2 0.000 0.000 0.759
Cd1 0.500 0.500 0.000
Cl1 0.500 0.500 0.500

The uncorrected formation energy is -0.45 eV/atom. The density of states at the Fermi level comes out at 1.14 states/eV/cell. As for the total moment: 0.000 μB/cell. The calculated volume is 86.93 Å³/cell. As for the energy: -1.933 eV per atom.

=====

Record 6
Below is crystalline Y2AlHg3 at its relaxed geometry, with properties calculated at the PBE level.

Lattice parameters (Å, degrees): 9.587 9.045 5.969 76.33 66.45 37.22
Atoms (fractional coordinates):
Y1 0.243 0.757 0.757
Y2 0.250 0.250 0.250
Y3 0.750 0.750 0.750
Y4 0.757 0.243 0.243
Al1 0.333 0.333 0.667
Al2 0.667 0.667 0.333
Hg1 0.171 0.171 0.829
Hg2 0.174 0.654 0.346
Hg3 0.346 0.826 0.174
Hg4 0.654 0.174 0.826
Hg5 0.826 0.346 0.654
Hg6 0.829 0.829 0.171

The density of states at the Fermi level comes out at 8.54 states/eV/cell. As for the total moment: 0.450 μB/cell. The calculated volume is 283.89 Å³/cell. As for the energy: -3.357 eV per atom. The value obtained for the formation energy is -0.4274 eV per atom.

=====

Record 7
Below is crystalline YHo2N at its relaxed geometry, with properties calculated at the PBE level.

Lattice parameters (Å, degrees): 3.173 3.173 8.704 90.00 90.00 90.00
Atoms (fractional coordinates):
Y1 0.000 0.000 0.000
Ho1 0.500 0.500 0.339
Ho2 0.500 0.500 0.661
N1 0.000 0.000 0.500

The uncorrected formation energy is -0.21 eV/atom. The density of states at the Fermi level comes out at 4.54 states/eV/cell. As for the total moment: 0.000 μB/cell. The calculated volume is 87.63 Å³/cell. As for the energy: -6.198 eV per atom.

=====

Record 8
Below is crystalline LaDy3Ho5 at its relaxed geometry, with properties calculated at the PBE level.

Lattice parameters (Å, degrees): 10.052 10.052 11.166 111.77 111.77 34.88
Atoms (fractional coordinates):
La1 0.143 0.857 0.750
La2 0.857 0.143 0.250
Dy1 0.000 0.000 0.000
Dy2 0.000 0.000 0.500
Dy3 0.048 0.597 0.637
Dy4 0.403 0.952 0.863
Dy5 0.597 0.048 0.137
Dy6 0.952 0.403 0.363
Ho1 0.093 0.578 0.304
Ho2 0.094 0.567 0.971
Ho3 0.372 0.628 0.250
Ho4 0.422 0.907 0.196
Ho5 0.433 0.906 0.529
Ho6 0.567 0.094 0.471
Ho7 0.578 0.093 0.804
Ho8 0.628 0.372 0.750
Ho9 0.906 0.433 0.029
Ho10 0.907 0.422 0.696

The density of states at the Fermi level comes out at 28.12 states/eV/cell. As for the total moment: 0.002 μB/cell. The calculated volume is 594.50 Å³/cell. As for the energy: -4.294 eV per atom. The value obtained for the formation energy is 0.3302 eV per atom.

=====

Record 9
Below is crystalline Na2Sc2Re at its relaxed geometry, with properties calculated at the PBE level.

Lattice parameters (Å, degrees): 7.122 7.122 4.055 90.00 90.00 90.00
Atoms (fractional coordinates):
Na1 0.114 0.386 0.000
Na2 0.386 0.886 0.000
Na3 0.614 0.114 0.000
Na4 0.886 0.614 0.000
Sc1 0.206 0.706 0.500
Sc2 0.294 0.206 0.500
Sc3 0.706 0.794 0.500
Sc4 0.794 0.294 0.500
Re1 0.000 0.000 0.000
Re2 0.500 0.500 0.000

The density of states at the Fermi level comes out at 16.71 states/eV/cell. As for the total moment: 0.000 μB/cell. The calculated volume is 205.69 Å³/cell. As for the energy: -4.539 eV per atom. The value obtained for the formation energy is 1.0112 eV per atom.

=====

Record 10
Below is crystalline BaHg2BOs at its relaxed geometry, with properties calculated at the PBE level.

Lattice parameters (Å, degrees): 6.480 6.480 5.187 90.00 90.00 90.00
Atoms (fractional coordinates):
Ba1 0.000 0.000 0.000
Hg1 0.000 0.500 0.000
Hg2 0.500 0.000 0.000
B1 0.000 0.000 0.500
Os1 0.500 0.500 0.500

The density of states at the Fermi level comes out at 15.26 states/eV/cell. As for the total moment: 4.348 μB/cell. The calculated volume is 217.85 Å³/cell. As for the energy: -1.708 eV per atom. The value obtained for the formation energy is 2.3786 eV per atom.

=====

Record 11
Below is crystalline As2PbW at its relaxed geometry, with properties calculated at the PBE level.

Lattice parameters (Å, degrees): 5.948 7.717 3.434 90.00 90.20 90.00
Atoms (fractional coordinates):
As1 0.250 0.250 0.000
As2 0.250 0.750 0.000
As3 0.750 0.250 0.000
As4 0.750 0.750 0.000
Pb1 0.000 0.000 0.500
Pb2 0.500 0.500 0.500
W1 0.000 0.500 0.500
W2 0.500 0.000 0.500

The density of states at the Fermi level comes out at 6.84 states/eV/cell. As for the total moment: 1.244 μB/cell. The calculated volume is 157.63 Å³/cell. As for the energy: -5.672 eV per atom. The value obtained for the formation energy is 0.8182 eV per atom.

=====

Record 12
Below is crystalline FeRePt at its relaxed geometry, with properties calculated at the PBE level.

Lattice parameters (Å, degrees): 2.727 2.727 11.257 90.00 90.00 90.00
Atoms (fractional coordinates):
Fe1 0.000 0.000 0.000
Fe2 0.500 0.500 0.500
Re1 0.000 0.000 0.351
Re2 0.500 0.500 0.851
Pt1 0.000 0.000 0.671
Pt2 0.500 0.500 0.171

The density of states at the Fermi level comes out at 5.61 states/eV/cell. As for the total moment: 2.935 μB/cell. The calculated volume is 83.71 Å³/cell. As for the energy: -9.007 eV per atom. The value obtained for the formation energy is -0.0229 eV per atom.